This record from Alexandria via LeMat-Bulk describes a relaxed structure of BaCr2Pt. The functional is GGA-PBE.

Values from the calculation:
Total magnetic moment ... 0.949 μB/cell
Calculated formation energy ... 0.093 eV/atom
E above lowest polymorph ... 0 meV per atom

```
4
Lattice="2.2163 1.2796 5.8984 -2.2163 1.2796 5.8984 0.0000 -2.5591 5.8984" Properties=species:S:1:pos:R:3 pbc="T T T"
Ba 0.0000 0.0000 0.0000
Cr 0.0000 0.0000 9.0440
Cr 0.0000 0.0000 14.2581
Pt 0.0000 0.0000 3.4467
```

This record from Alexandria via LeMat-Bulk describes a relaxed structure of BaCr2Pt. The functional is GGA-PBE.

Values from the calculation:
Total magnetic moment ... 9.408 μB/cell
Calculated formation energy ... 0.772 eV/atom
E above lowest polymorph ... 678 meV per atom

```
4
Lattice="3.0651 -5.2254 0.0000 3.0651 5.2254 0.0000 -3.0458 0.0000 3.1303" Properties=species:S:1:pos:R:3 pbc="T T T"
Ba 0.0000 0.0000 0.0000
Cr 0.0097 2.6127 1.5652
Cr 0.0097 -2.6127 1.5652
Pt 3.0651 0.0000 0.0000
```

This record from Alexandria via LeMat-Bulk describes a relaxed structure of BaCrPt3. The functional is GGA-PBE.

Values from the calculation:
Total magnetic moment ... 0.000 μB/cell
Calculated formation energy ... 0.037 eV/atom
E above lowest polymorph ... 0 meV per atom

```
5
Lattice="4.8005 0.0000 0.0000 0.0000 4.8005 0.0000 0.0000 0.0000 4.8005" Properties=species:S:1:pos:R:3 pbc="T T T"
Ba 0.0000 0.0000 0.0000
Cr 2.4002 2.4002 2.4002
Pt 0.0000 2.4002 2.4002
Pt 2.4002 0.0000 2.4002
Pt 2.4002 2.4002 0.0000
```

This record from Alexandria via LeMat-Bulk describes a relaxed structure of Ba2CrPt. The functional is GGA-PBE.

Values from the calculation:
Total magnetic moment ... 3.818 μB/cell
Calculated formation energy ... 0.095 eV/atom
E above lowest polymorph ... 257 meV per atom

```
4
Lattice="3.7495 0.0000 0.0000 0.0000 3.7495 0.0000 0.0000 0.0000 9.4018" Properties=species:S:1:pos:R:3 pbc="T T T"
Ba 0.0000 0.0000 0.0000
Ba 1.8747 1.8747 3.9560
Cr 0.0000 0.0000 6.3887
Pt 1.8747 1.8747 7.0744
```